<P>
First-principles (GGA-PBE) data for a relaxed structure of Tb3Dy3Tm, as listed in Alexandria.

## Properties
**Mass density**: 8.168 g cm⁻³

Cell lengths 6.146, 6.146, 14.523 Å; angles 77.78, 77.78, 60.00 degrees
Element x y z (fractional)
Tb (0.199, 0.868, 0.397)
Tb (0.536, 0.199, 0.397)
Tb (0.868, 0.536, 0.397)
Tb (0.132, 0.464, 0.603)
Tb (0.464, 0.801, 0.603)
Tb (0.801, 0.132, 0.603)
Dy (0.935, 0.268, 0.197)
Dy (0.601, 0.935, 0.197)
Dy (0.268, 0.601, 0.197)
Dy (0.732, 0.399, 0.803)
Dy (0.399, 0.065, 0.803)
Dy (0.065, 0.732, 0.803)
Tm (0.667, 0.667, 0.000)
Tm (0.333, 0.333, 0.000)

<Q>
First-principles (GGA-PBE) data for a relaxed structure of Tb3Dy3Tm, as listed in Alexandria.

## Properties
**Mass density**: 8.500 g cm⁻³

Cell lengths 5.640, 9.521, 9.521 Å; angles 120.00, 90.00, 90.00 degrees
Element x y z (fractional)
Tb (0.750, 0.761, 0.808)
Tb (0.750, 0.048, 0.239)
Tb (0.750, 0.192, 0.952)
Tb (0.250, 0.239, 0.192)
Tb (0.250, 0.952, 0.761)
Tb (0.250, 0.808, 0.048)
Dy (0.250, 0.524, 0.619)
Dy (0.250, 0.095, 0.476)
Dy (0.250, 0.381, 0.905)
Dy (0.750, 0.476, 0.381)
Dy (0.750, 0.905, 0.524)
Dy (0.750, 0.619, 0.095)
Tm (0.750, 0.333, 0.667)
Tm (0.250, 0.667, 0.333)

Going by the energies, <Q> is most stable and the next is 0.134 eV/atom up.